(1)
This record from Alexandria via LeMat-Bulk describes a relaxed structure of CaBeGa2Au4. The functional is PBE.

Values from the calculation:
The total DFT energy (no corrections) is -27.661 eV for the cell shown. The value obtained for the formation energy is -346 meV/atom. For the total magnetization, the calculation gives 0.000 μB/atom.

Unit cell a=4.494 b=4.494 c=8.843 alpha=75.28 beta=75.28 gamma=60.00
Fractional coordinates of all 8 atoms:
1 Be 0.500 0.500 0.500
2 Au 0.141 0.141 0.578
3 Ga 0.747 0.747 0.758
4 Ca 0.000 0.000 0.000
5 Au 0.405 0.405 0.784
6 Au 0.595 0.595 0.216
7 Au 0.859 0.859 0.422
8 Ga 0.253 0.253 0.242

(2)
This record from Alexandria via LeMat-Bulk describes a relaxed structure of Ca2BeGa4Au3. The functional is PBE.

Values from the calculation:
The total DFT energy (no corrections) is -34.232 eV for the cell shown. The value obtained for the formation energy is -456 meV/atom. For the total magnetization, the calculation gives 0.000 μB/atom.

Unit cell a=4.196 b=4.196 c=11.291 alpha=90.00 beta=90.00 gamma=90.00
Fractional coordinates of all 10 atoms:
1 Ga 0.500 0.500 0.000
2 Ga 0.500 0.000 0.627
3 Au 0.000 0.000 0.500
4 Au 0.000 0.500 0.147
5 Ca 0.000 0.500 0.738
6 Be 0.500 0.500 0.500
7 Ga 0.000 0.000 0.000
8 Ca 0.500 0.000 0.262
9 Au 0.500 0.000 0.853
10 Ga 0.000 0.500 0.373

(3)
This record from Alexandria via LeMat-Bulk describes a relaxed structure of CaBeGaAu6. The functional is PBE.

Values from the calculation:
The total DFT energy (no corrections) is -61.317 eV for the cell shown. The value obtained for the formation energy is -249 meV/atom. For the total magnetization, the calculation gives 0.000 μB/atom.

Unit cell a=7.078 b=8.871 c=7.908 alpha=124.11 beta=116.58 gamma=90.00
Fractional coordinates of all 18 atoms:
1 Au 0.570 0.820 0.140
2 Au 0.000 0.250 0.000
3 Ga 0.000 0.000 0.500
4 Be 0.500 0.500 0.000
5 Au 0.661 0.867 0.750
6 Ga 0.500 0.000 0.500
7 Au 0.430 0.180 0.860
8 Ca 0.286 0.536 0.571
9 Au 0.089 0.867 0.750
10 Be 0.500 0.000 0.000
11 Au 0.089 0.383 0.750
12 Au 0.661 0.383 0.750
13 Au 0.339 0.617 0.250
14 Ca 0.714 0.464 0.429
15 Au 0.000 0.750 0.000
16 Au 0.339 0.133 0.250
17 Au 0.911 0.617 0.250
18 Au 0.911 0.133 0.250

(4)
This record from Alexandria via LeMat-Bulk describes a relaxed structure of Ca2BeGaAu6. The functional is PBE.

Values from the calculation:
The total DFT energy (no corrections) is -35.040 eV for the cell shown. The value obtained for the formation energy is -462 meV/atom. For the total magnetization, the calculation gives 0.000 μB/atom.

Unit cell a=6.415 b=7.003 c=6.969 alpha=55.30 beta=62.72 gamma=90.20
Fractional coordinates of all 10 atoms:
1 Ca 0.778 0.221 0.443
2 Au 0.765 0.245 0.933
3 Au 0.235 0.755 0.067
4 Ga 0.500 0.500 0.000
5 Be 0.000 0.000 0.000
6 Ca 0.222 0.779 0.557
7 Au 0.304 0.235 0.941
8 Au 0.696 0.765 0.059
9 Au 0.758 0.701 0.480
10 Au 0.242 0.299 0.520

(5)
This record from Alexandria via LeMat-Bulk describes a relaxed structure of CaBeGeAu3. The functional is PBE.

Values from the calculation:
The total DFT energy (no corrections) is -44.048 eV for the cell shown. The value obtained for the formation energy is -308 meV/atom. For the total magnetization, the calculation gives 0.000 μB/atom.

Unit cell a=6.156 b=6.421 c=6.863 alpha=117.89 beta=90.00 gamma=90.00
Fractional coordinates of all 12 atoms:
1 Ge 0.750 0.628 0.256
2 Au 0.750 0.832 0.665
3 Ca 0.250 0.718 0.436
4 Au 0.250 0.168 0.335
5 Au 0.500 0.267 0.000
6 Au 0.000 0.267 0.000
7 Be 0.250 0.974 0.949
8 Ca 0.750 0.282 0.564
9 Ge 0.250 0.372 0.744
10 Be 0.750 0.026 0.051
11 Au 0.500 0.733 0.000
12 Au 0.000 0.733 0.000

(6)
This record from Alexandria via LeMat-Bulk describes a relaxed structure of CaBeHg2Au. The functional is PBE.

Values from the calculation:
The total DFT energy (no corrections) is -10.703 eV for the cell shown. The value obtained for the formation energy is -219 meV/atom. For the total magnetization, the calculation gives 0.000 μB/atom.

Unit cell a=4.765 b=4.765 c=4.691 alpha=90.00 beta=90.00 gamma=90.00
Fractional coordinates of all 5 atoms:
1 Au 0.000 0.000 0.500
2 Hg 0.500 0.000 0.000
3 Ca 0.500 0.500 0.500
4 Hg 0.000 0.500 0.000
5 Be 0.000 0.000 0.000

(7)
This record from Alexandria via LeMat-Bulk describes a relaxed structure of CaBeIn2Au5. The functional is PBE.

Values from the calculation:
The total DFT energy (no corrections) is -30.275 eV for the cell shown. The value obtained for the formation energy is -298 meV/atom. For the total magnetization, the calculation gives 0.000 μB/atom.

Unit cell a=4.613 b=6.358 c=7.737 alpha=114.26 beta=107.34 gamma=90.00
Fractional coordinates of all 9 atoms:
1 Ca 0.000 0.500 0.000
2 Au 0.383 0.613 0.765
3 Be 0.500 0.000 0.000
4 Au 0.383 0.152 0.765
5 In 0.206 0.206 0.412
6 Au 0.000 0.000 0.000
7 In 0.794 0.794 0.588
8 Au 0.617 0.848 0.235
9 Au 0.617 0.387 0.235

(8)
This record from Alexandria via LeMat-Bulk describes a relaxed structure of CaBe2InAu5. The functional is PBE.

Values from the calculation:
The total DFT energy (no corrections) is -30.796 eV for the cell shown. The value obtained for the formation energy is -246 meV/atom. For the total magnetization, the calculation gives 0.000 μB/atom.

Unit cell a=4.634 b=4.634 c=7.759 alpha=90.00 beta=90.00 gamma=90.00
Fractional coordinates of all 9 atoms:
1 Be 0.500 0.500 0.185
2 Au 0.500 0.500 0.500
3 Au 0.000 0.500 0.765
4 Au 0.000 0.500 0.235
5 In 0.000 0.000 0.000
6 Au 0.500 0.000 0.235
7 Ca 0.000 0.000 0.500
8 Be 0.500 0.500 0.815
9 Au 0.500 0.000 0.765

(9)
This record from Alexandria via LeMat-Bulk describes a relaxed structure of LiCa2BeAu6. The functional is PBE.

Values from the calculation:
The total DFT energy (no corrections) is -33.929 eV for the cell shown. The value obtained for the formation energy is -462 meV/atom. For the total magnetization, the calculation gives 0.000 μB/atom.

Unit cell a=6.905 b=6.348 c=7.219 alpha=61.38 beta=53.56 gamma=88.48
Fractional coordinates of all 10 atoms:
1 Au 0.750 0.258 0.899
2 Au 0.777 0.756 0.516
3 Au 0.250 0.742 0.101
4 Ca 0.286 0.720 0.545
5 Ca 0.714 0.280 0.455
6 Au 0.234 0.213 0.067
7 Au 0.766 0.787 0.933
8 Be 0.500 0.500 0.000
9 Li 0.000 0.000 0.000
10 Au 0.223 0.244 0.484

(10)
This record from Alexandria via LeMat-Bulk describes a relaxed structure of LiCaBeAu2. The functional is PBE.

Values from the calculation:
The total DFT energy (no corrections) is -16.010 eV for the cell shown. The value obtained for the formation energy is -363 meV/atom. For the total magnetization, the calculation gives 0.000 μB/atom.

Unit cell a=4.592 b=4.592 c=4.478 alpha=90.00 beta=90.00 gamma=90.00
Fractional coordinates of all 5 atoms:
1 Au 0.500 0.000 0.000
2 Ca 0.500 0.500 0.500
3 Li 0.000 0.000 0.500
4 Be 0.000 0.000 0.000
5 Au 0.000 0.500 0.000

(11)
This record from Alexandria via LeMat-Bulk describes a relaxed structure of CaMgBeAu6. The functional is PBE.

Values from the calculation:
The total DFT energy (no corrections) is -60.016 eV for the cell shown. The value obtained for the formation energy is -336 meV/atom. For the total magnetization, the calculation gives 0.000 μB/atom.

Unit cell a=7.042 b=9.028 c=7.923 alpha=124.73 beta=116.39 gamma=90.00
Fractional coordinates of all 18 atoms:
1 Ca 0.724 0.474 0.447
2 Be 0.500 0.000 0.000
3 Ca 0.276 0.526 0.553
4 Be 0.500 0.500 0.000
5 Au 0.025 0.775 0.051
6 Au 0.442 0.192 0.884
7 Au 0.659 0.862 0.751
8 Mg 0.500 0.000 0.500
9 Mg 0.000 0.000 0.500
10 Au 0.092 0.862 0.751
11 Au 0.659 0.389 0.751
12 Au 0.908 0.611 0.249
13 Au 0.975 0.225 0.949
14 Au 0.908 0.138 0.249
15 Au 0.558 0.808 0.116
16 Au 0.341 0.611 0.249
17 Au 0.341 0.138 0.249
18 Au 0.092 0.389 0.751

(12)
This record from Alexandria via LeMat-Bulk describes a relaxed structure of CaMgBe2Au5. The functional is PBE.

Values from the calculation:
The total DFT energy (no corrections) is -30.628 eV for the cell shown. The value obtained for the formation energy is -355 meV/atom. For the total magnetization, the calculation gives 0.000 μB/atom.

Unit cell a=4.630 b=4.630 c=7.424 alpha=90.00 beta=90.00 gamma=90.00
Fractional coordinates of all 9 atoms:
1 Mg 0.000 0.000 0.000
2 Ca 0.000 0.000 0.500
3 Au 0.500 0.500 0.500
4 Be 0.500 0.500 0.165
5 Au 0.000 0.500 0.780
6 Au 0.500 0.000 0.220
7 Au 0.500 0.000 0.780
8 Be 0.500 0.500 0.835
9 Au 0.000 0.500 0.220